Compound: MgHgTe2Cl
Source: Alexandria
Functional: PBE
Structure: relaxed

Summary:
- calculated total energy (eV for the cell shown) = -8.1
- mass density (g/cm³) = 5.1
- raw formation energy (meV/atom) = 376
- magnetization (μB/f.u.) = 0.00

Lattice parameters (Å, degrees): 5.392 5.392 5.800 90.00 90.00 90.00
Sites, in units of the cell vectors:
Mg (0.000, 0.000, 0.000)
Hg (0.500, 0.500, 0.000)
Te (0.000, 0.500, 0.500)
Te (0.500, 0.000, 0.500)
Cl (0.500, 0.500, 0.500)

Compound: MgTl2HgCl6
Source: Alexandria
Functional: PBE
Structure: relaxed

Summary:
- calculated total energy (eV for the cell shown) = -57.7
- mass density (g/cm³) = 5.2
- raw formation energy (meV/atom) = -1113
- magnetization (μB/f.u.) = 0.00

Lattice parameters (Å, degrees): 7.171 7.343 12.575 90.00 124.56 90.00
Sites, in units of the cell vectors:
Mg (0.000, 0.000, 0.000)
Mg (0.000, 0.500, 0.500)
Tl (0.262, 0.058, 0.750)
Tl (0.262, 0.442, 0.250)
Tl (0.738, 0.558, 0.750)
Tl (0.738, 0.942, 0.250)
Hg (0.500, 0.000, 0.500)
Hg (0.500, 0.500, 0.000)
Cl (0.171, 0.006, 0.240)
Cl (0.171, 0.494, 0.740)
Cl (0.231, 0.713, 0.033)
Cl (0.231, 0.787, 0.533)
Cl (0.319, 0.197, 0.034)
Cl (0.319, 0.303, 0.534)
Cl (0.681, 0.697, 0.466)
Cl (0.681, 0.803, 0.966)
Cl (0.769, 0.213, 0.467)
Cl (0.769, 0.287, 0.967)
Cl (0.829, 0.506, 0.260)
Cl (0.829, 0.994, 0.760)

Compound: Mg2TlHgCl8
Source: Alexandria
Functional: PBE
Structure: relaxed

Summary:
- calculated total energy (eV for the cell shown) = -34.8
- mass density (g/cm³) = 3.9
- raw formation energy (meV/atom) = -1177
- magnetization (μB/f.u.) = 0.00

Lattice parameters (Å, degrees): 6.164 7.843 6.438 90.00 90.49 90.00
Sites, in units of the cell vectors:
Mg (0.000, 0.243, 0.000)
Mg (0.000, 0.757, 0.000)
Tl (0.500, 0.500, 0.500)
Hg (0.500, 0.000, 0.500)
Cl (0.202, 0.500, 0.848)
Cl (0.216, 0.000, 0.847)
Cl (0.251, 0.236, 0.321)
Cl (0.251, 0.764, 0.321)
Cl (0.749, 0.236, 0.679)
Cl (0.749, 0.764, 0.679)
Cl (0.784, 0.000, 0.153)
Cl (0.798, 0.500, 0.152)

Compound: YMg2HgCl
Source: Alexandria
Functional: PBE
Structure: relaxed

Summary:
- calculated total energy (eV for the cell shown) = -12.6
- mass density (g/cm³) = 4.9
- raw formation energy (meV/atom) = -167
- magnetization (μB/f.u.) = 0.00

Lattice parameters (Å, degrees): 4.933 4.933 5.154 90.00 90.00 90.00
Sites, in units of the cell vectors:
Y (0.000, 0.000, 0.000)
Mg (0.000, 0.500, 0.500)
Mg (0.500, 0.000, 0.500)
Hg (0.500, 0.500, 0.000)
Cl (0.000, 0.000, 0.500)

Compound: MgZr2HgCl
Source: Alexandria
Functional: PBE
Structure: relaxed

Summary:
- calculated total energy (eV for the cell shown) = -16.1
- mass density (g/cm³) = 4.5
- raw formation energy (meV/atom) = 941
- magnetization (μB/f.u.) = 0.00

Lattice parameters (Å, degrees): 5.351 5.351 5.680 90.00 90.00 90.00
Sites, in units of the cell vectors:
Mg (0.000, 0.000, 0.000)
Zr (0.000, 0.500, 0.500)
Zr (0.500, 0.000, 0.500)
Hg (0.500, 0.500, 0.500)
Cl (0.500, 0.500, 0.000)

Compound: MnHgCl2
Source: Alexandria
Functional: PBE
Structure: relaxed

Summary:
- calculated total energy (eV for the cell shown) = -13.3
- polymorph energy (0 for the lowest one) (eV/atom) = 0.764
- mass density (g/cm³) = 6.0
- raw formation energy (meV/atom) = -28
- magnetization (μB/f.u.) = 4.90

Lattice parameters (Å, degrees): 4.751 4.751 3.974 90.00 90.00 90.00
Sites, in units of the cell vectors:
Mn (0.000, 0.000, 0.000)
Hg (0.500, 0.500, 0.000)
Cl (0.000, 0.500, 0.500)
Cl (0.500, 0.000, 0.500)